Entry 1:
Cd5SbPd8: optimized geometry, PBE.

```
14
Lattice="-4.714 -4.369 -2.619 5.623 0.200 -4.063 1.686 -2.259 6.342" Properties=species:S:1:pos:R:3 pbc="T T T"
Cd -2.063 -4.384 -3.364
Cd 1.035 -4.297 -3.935
Cd 0.912 -4.295 -0.785
Cd -1.514 -3.314 1.861
Cd -1.094 -1.990 -1.558
Sb 2.898 -2.687 2.070
Pd 5.490 -2.533 2.965
Pd 1.853 -1.724 4.421
Pd -1.918 -4.449 -0.566
Pd 0.956 -4.425 1.971
Pd 1.613 -2.061 -2.279
Pd 3.442 -4.745 0.334
Pd 0.806 -1.744 0.560
Pd 4.539 -1.921 0.193
```

ΔE_f (raw) in meV per atom: -280
Density of states at the Fermi level in states/eV/f.u.: 7.5

***

Entry 2:
LiNi2Cl: optimized geometry, PBE.

```
4
Lattice="-0.405 2.056 -1.970 -1.994 -2.045 0.336 -3.673 4.472 5.423" Properties=species:S:1:pos:R:3 pbc="T T T"
Cl -2.118 1.124 0.539
Li -3.954 3.360 3.250
Ni -0.059 0.072 0.087
Ni -1.778 2.165 2.625
```

ΔE_f (raw) in meV per atom: 357
Density of states at the Fermi level in states/eV/f.u.: 5.4

***

Entry 3:
Er3AgN: optimized geometry, PBE.

```
5
Lattice="-0.566 -4.282 1.949 3.002 -1.840 -3.172 3.623 0.856 2.932" Properties=species:S:1:pos:R:3 pbc="T T T"
N 0.000 0.000 0.000
Ag 3.029 -2.633 0.855
Er 1.501 -0.920 -1.586
Er 1.812 0.428 1.466
Er -0.283 -2.141 0.974
```

ΔE_f (raw) in meV per atom: -772
Density of states at the Fermi level in states/eV/f.u.: 7.0

***

Entry 4:
CrTc2Ni: optimized geometry, PBE.

```
4
Lattice="-1.583 -1.973 -0.803 2.486 -2.524 1.302 -2.392 0.034 4.634" Properties=species:S:1:pos:R:3 pbc="T T T"
Cr -1.220 0.017 2.363
Ni -1.326 -2.224 3.693
Tc -2.373 0.034 4.596
Tc -0.159 -2.240 1.431
```

Formation enthalpy at 0 K in eV/f.u.: 0.4
Density of states at the Fermi level in states/eV/f.u.: 5.1